# 1
# TmMg2Au3

An optimized crystal structure of TmMg2Au3 (PBE, the Alexandria database).

Cell lengths 3.3824, 3.3824, 10.2549 Å; angles 90.00, 90.00, 90.00 degrees
With the nearest neighbours (Å) after each atom.
Space group P4/mmm (No. 123)
One atom of each set of equivalent atoms:
Tm1 0.0000 0.0000 0.0000  8 Au 3.03, 4 Tm 3.38
Mg1 0.0000 0.0000 0.3429  8 Au 2.88-2.91, 1 Mg 3.22
Au1 0.5000 0.5000 0.1820  4 Mg 2.91, 4 Tm 3.03
Au2 0.5000 0.5000 0.5000  8 Mg 2.88

Summary:
Crystal system: tetragonal
Energy above the lowest structure with this stoichiometry in eV/atom: 0.013
ΔH_f (0 K) in meV/atom: -702



# 2
# NaMg4Pb2

An optimized crystal structure of NaMg4Pb2 (PBE, the Alexandria database).

Cell lengths 8.8921, 8.8921, 4.8262 Å; angles 90.00, 90.00, 90.00 degrees
With the nearest neighbours (Å) after each atom.
Space group P4_2/mnm (No. 136)
One atom of each set of equivalent atoms:
Na1 0.0000 0.0000 0.0000  6 Pb 3.38-3.78
Mg1 0.0861 0.3414 0.5000  3 Pb 2.98-2.99, 6 Mg 3.21-3.31
Pb1 0.2314 0.7686 0.5000  6 Mg 2.98-2.99

Summary:
Crystal system: tetragonal
ΔH_f (0 K) in meV/atom: -64



# 3
# BaSr2ReMo

An optimized crystal structure of BaSr2ReMo (PBE, the Alexandria database).

Cell lengths 5.8616, 5.8616, 4.9915 Å; angles 90.00, 90.00, 90.00 degrees
With the nearest neighbours (Å) after each atom.
Space group P4/mmm (No. 123)
One atom of each set of equivalent atoms:
Ba1 0.0000 0.0000 0.0000  2 Mo 2.50
Sr1 0.0000 0.5000 0.0000  2 Ba 2.93
Re1 0.5000 0.5000 0.5000  8 Sr 3.85, 4 Mo 4.14
Mo1 0.0000 0.0000 0.5000  2 Ba 2.50

Summary:
Crystal system: tetragonal
ΔH_f (0 K) in meV/atom: 2609



# 4
# NaTcPt

An optimized crystal structure of NaTcPt (PBE, the Alexandria database).

Cell lengths 4.6078, 4.6078, 5.7158 Å; angles 90.00, 90.00, 120.00 degrees
With the nearest neighbours (Å) after each atom.
Space group P-6m2 (No. 187)
One atom of each set of equivalent atoms:
Na1 0.0000 0.0000 0.0000  2 Na 2.86, 6 Tc 2.88, 6 Pt 2.99
Na2 0.0000 0.0000 0.5000  2 Na 2.86, 6 Pt 3.05, 6 Tc 3.19
Tc1 0.6667 0.3333 0.1915  1 Tc 2.19
Pt1 0.3333 0.6667 0.2381  3 Tc 2.67, 2 Pt 2.72-2.99, 3 Na 2.99

Summary:
Crystal system: hexagonal
Energy above the lowest structure with this stoichiometry in eV/atom: 0.269
ΔH_f (0 K) in meV/atom: 316



# 5
# Mg5InPb8

An optimized crystal structure of Mg5InPb8 (PBE, the Alexandria database).

Cell lengths 9.5736, 9.5736, 8.9081 Å; angles 90.00, 90.00, 90.00 degrees
With the nearest neighbours (Å) after each atom.
Space group I-4 (No. 82)
One atom of each set of equivalent atoms:
Mg1 0.0000 0.0000 0.0000  8 Pb 3.15-3.38
Mg2 0.1163 0.1667 0.6050  5 Pb 3.11-3.23, 2 Mg 3.33
In1 0.0000 0.5000 0.2500  8 Pb 3.24-3.44
Pb1 0.0590 0.3379 0.9110  3 Mg 3.23-3.56, 4 Pb 3.30-3.46, 1 In 3.44
Pb2 0.1293 0.1872 0.2559  5 Mg 3.11-3.18, 1 In 3.24, 3 Pb 3.30-3.46

Summary:
Crystal system: tetragonal
ΔH_f (0 K) in meV/atom: 16



# 6
# SiBiNF2

An optimized crystal structure of SiBiNF2 (PBE, the Alexandria database).

Cell lengths 4.4916, 4.4916, 4.5890 Å; angles 90.00, 90.00, 90.00 degrees
With the nearest neighbours (Å) after each atom.
Space group P4/mmm (No. 123)
One atom of each set of equivalent atoms:
Si1 0.0000 0.0000 0.0000  4 N 3.18, 8 F 3.21
Bi1 0.5000 0.5000 0.5000  4 F 2.25, 2 N 2.29
N1 0.5000 0.5000 0.0000  2 Bi 2.29
F1 0.0000 0.5000 0.5000  2 Bi 2.25

Summary:
Crystal system: tetragonal
Energy above the lowest structure with this stoichiometry in eV/atom: 0.715



# 7
# TiFeRe3

An optimized crystal structure of TiFeRe3 (PBE, the Alexandria database).

Cell lengths 4.4641, 4.4641, 4.4641 Å; angles 90.00, 90.00, 90.00 degrees
With the nearest neighbours (Å) after each atom.
Space group Pm-3m (No. 221)
One atom of each set of equivalent atoms:
Ti1 0.0000 0.0000 0.0000  6 Re 2.23
Fe1 0.5000 0.5000 0.5000  12 Re 3.16
Re1 0.0000 0.0000 0.5000  2 Ti 2.23

Summary:
Crystal system: cubic
Energy above the lowest structure with this stoichiometry in eV/atom: 0.990
ΔH_f (0 K) in meV/atom: 2200



# 8
# Na4ClF3

An optimized crystal structure of Na4ClF3 (PBE, the Alexandria database).

Cell lengths 3.4261, 3.4261, 12.2184 Å; angles 90.00, 90.00, 120.00 degrees
With the nearest neighbours (Å) after each atom.
Space group P-3m1 (No. 164)
One atom of each set of equivalent atoms:
Na1 0.3333 0.6667 0.3470  3 F 2.42
Na2 0.3333 0.6667 0.8836  6 F 2.44
Cl1 0.0000 0.0000 0.5000  6 Na 2.72
F1 0.0000 0.0000 0.0000  6 Na 2.44
F2 0.0000 0.0000 0.2328  6 Na 2.42-2.44

Summary:
Crystal system: trigonal
E_tot in eV for the cell shown: -31.83



# 9
# CaP4Ru

An optimized crystal structure of CaP4Ru (PBE, the Alexandria database).

Cell lengths 7.2664, 7.2664, 7.2664 Å; angles 90.00, 90.00, 90.00 degrees
With the nearest neighbours (Å) after each atom.
Space group F-43m (No. 216)
One atom of each set of equivalent atoms:
Ca1 0.0000 0.0000 0.0000  12 P 3.02, 4 Ru 3.15
P1 0.1220 0.1220 0.6220  6 P 2.51-2.63
Ru1 0.2500 0.2500 0.2500  12 P 3.01, 4 Ca 3.15

Summary:
Crystal system: cubic
ΔH_f (0 K) in meV/atom: 345



# 10
# Ca2MoN

An optimized crystal structure of Ca2MoN (PBE, the Alexandria database).

Cell lengths 9.7401, 9.7401, 3.9645 Å; angles 90.00, 90.00, 90.00 degrees
With the nearest neighbours (Å) after each atom.
Space group I-42d (No. 122)
One atom of each set of equivalent atoms:
Ca1 0.0771 0.7500 0.1250  2 N 2.60
Mo1 0.0000 0.0000 0.5000  2 N 1.98
N1 0.0000 0.0000 0.0000  2 Mo 1.98

Summary:
Crystal system: tetragonal
E_tot in eV for the cell shown: -93.36